[1]
Density functional theory data (PBE) for an optimized crystal structure of CsPaHgSe4.

Values from the calculation:
Formation energy without anion corrections = -0.93 eV per atom

```
data_CsPaHgSe4
_symmetry_space_group_name_H-M 'I m m a'
_symmetry_Int_Tables_number 74
_symmetry_space_group_name_Hall '-I 2b 2'
_cell_length_a 7.519
_cell_length_b 8.432
_cell_length_c 15.990
_cell_angle_alpha 90.00
_cell_angle_beta 90.00
_cell_angle_gamma 90.00
loop_
_atom_site_label
_atom_site_fract_x
_atom_site_fract_y
_atom_site_fract_z
_atom_site_occupancy
Cs1 0.000 0.250 0.168 1
Pa1 0.000 0.000 0.500 1
Hg1 0.250 0.250 0.750 1
Se1 0.000 0.033 0.679 1
Se2 0.237 0.250 0.505 1
```

[2]
Density functional theory data (PBE) for an optimized crystal structure of Na6Cd2HgO.

Values from the calculation:
Formation energy without anion corrections = -0.41 eV per atom

```
data_Na6Cd2HgO
_symmetry_space_group_name_H-M 'P -1'
_symmetry_Int_Tables_number 2
_symmetry_space_group_name_Hall '-P 1'
_cell_length_a 6.073
_cell_length_b 6.871
_cell_length_c 6.971
_cell_angle_alpha 75.90
_cell_angle_beta 73.81
_cell_angle_gamma 77.85
loop_
_atom_site_label
_atom_site_fract_x
_atom_site_fract_y
_atom_site_fract_z
_atom_site_occupancy
Na1 0.166 0.289 0.401 1
Na2 0.215 0.873 0.737 1
Na3 0.282 0.860 0.248 1
Cd1 0.159 0.346 0.873 1
Hg1 0.500 0.500 0.000 1
O1 0.000 0.000 0.500 1
```

[3]
Density functional theory data (PBE) for an optimized crystal structure of CdPCl.

Values from the calculation:
Energy relative to the lowest polymorph listed for this composition = 0.607 eV/atom
Formation energy without anion corrections = 0.09 eV per atom

```
data_CdPCl
_symmetry_space_group_name_H-M 'P 3 m 1'
_symmetry_Int_Tables_number 156
_symmetry_space_group_name_Hall 'P 3 -2"'
_cell_length_a 3.4174
_cell_length_b 3.4174
_cell_length_c 7.3552
_cell_angle_alpha 90.00
_cell_angle_beta 90.00
_cell_angle_gamma 120.00
loop_
_atom_site_label
_atom_site_fract_x
_atom_site_fract_y
_atom_site_fract_z
_atom_site_occupancy
Cd1 0.0000 0.0000 0.0000 1
P1 0.3333 0.6667 0.7336 1
Cl1 0.6667 0.3333 0.2380 1
```

[4]
Density functional theory data (PBE) for an optimized crystal structure of PuTiSi2.

Values from the calculation:
Energy relative to the lowest polymorph listed for this composition = 0.198 eV/atom
Formation energy without anion corrections = -0.25 eV per atom

```
data_PuTiSi2
_symmetry_space_group_name_H-M 'R -3 m'
_symmetry_Int_Tables_number 166
_symmetry_space_group_name_Hall '-R 3 2"'
_cell_length_a 3.6429
_cell_length_b 3.6429
_cell_length_c 20.5797
_cell_angle_alpha 90.00
_cell_angle_beta 90.00
_cell_angle_gamma 120.00
loop_
_atom_site_label
_atom_site_fract_x
_atom_site_fract_y
_atom_site_fract_z
_atom_site_occupancy
Pu1 0.0000 0.0000 0.0000 1
Ti1 0.0000 0.0000 0.5000 1
Si1 0.0000 0.0000 0.2383 1
```

[5]
Density functional theory data (PBE) for an optimized crystal structure of LaMnCd.

Values from the calculation:
Formation energy from the elements = 0.0627 eV/atom

```
data_LaMnCd
_symmetry_space_group_name_H-M 'P -6 m 2'
_symmetry_Int_Tables_number 187
_symmetry_space_group_name_Hall 'P -6 2'
_cell_length_a 4.8990
_cell_length_b 4.8990
_cell_length_c 3.6813
_cell_angle_alpha 90.00
_cell_angle_beta 90.00
_cell_angle_gamma 120.00
loop_
_atom_site_label
_atom_site_fract_x
_atom_site_fract_y
_atom_site_fract_z
_atom_site_occupancy
La1 0.0000 0.0000 0.0000 1
Mn1 0.6667 0.3333 0.5000 1
Cd1 0.3333 0.6667 0.5000 1
```

[6]
Density functional theory data (PBE) for an optimized crystal structure of LiSi3Pd3.

Values from the calculation:
Energy relative to the lowest polymorph listed for this composition = 0.362 eV/atom
Formation energy without anion corrections = -0.12 eV per atom

```
data_LiSi3Pd3
_symmetry_space_group_name_H-M 'P m -3 n'
_symmetry_Int_Tables_number 223
_symmetry_space_group_name_Hall '-P 4n 2 3'
_cell_length_a 6.662
_cell_length_b 6.662
_cell_length_c 6.662
_cell_angle_alpha 90.00
_cell_angle_beta 90.00
_cell_angle_gamma 90.00
loop_
_atom_site_label
_atom_site_fract_x
_atom_site_fract_y
_atom_site_fract_z
_atom_site_occupancy
Li1 0.000 0.000 0.000 1
Si1 0.000 0.250 0.500 1
Pd1 0.000 0.500 0.250 1
```

[7]
Density functional theory data (PBE) for an optimized crystal structure of PaTi2Mo.

Values from the calculation:
Energy relative to the lowest polymorph listed for this composition = 0.000 eV/atom
Formation energy from the elements = 0.0317 eV/atom

```
data_PaTi2Mo
_symmetry_space_group_name_H-M 'P 4/m m m'
_symmetry_Int_Tables_number 123
_symmetry_space_group_name_Hall '-P 4 2'
_cell_length_a 3.156
_cell_length_b 3.156
_cell_length_c 7.568
_cell_angle_alpha 90.00
_cell_angle_beta 90.00
_cell_angle_gamma 90.00
loop_
_atom_site_label
_atom_site_fract_x
_atom_site_fract_y
_atom_site_fract_z
_atom_site_occupancy
Pa1 0.000 0.000 0.000 1
Ti1 0.500 0.500 0.301 1
Mo1 0.000 0.000 0.500 1
```

[8]
Density functional theory data (PBE) for an optimized crystal structure of LiCd2OsW.

Values from the calculation:
Formation energy from the elements = 2.3797 eV/atom

```
data_LiCd2OsW
_symmetry_space_group_name_H-M 'P 4/m m m'
_symmetry_Int_Tables_number 123
_symmetry_space_group_name_Hall '-P 4 2'
_cell_length_a 5.191
_cell_length_b 5.191
_cell_length_c 4.642
_cell_angle_alpha 90.00
_cell_angle_beta 90.00
_cell_angle_gamma 90.00
loop_
_atom_site_label
_atom_site_fract_x
_atom_site_fract_y
_atom_site_fract_z
_atom_site_occupancy
Li1 0.000 0.000 0.000 1
Cd1 0.000 0.500 0.500 1
Os1 0.500 0.500 0.000 1
W1 0.000 0.000 0.500 1
```

[9]
Density functional theory data (PBE) for an optimized crystal structure of La2SiPd4.

Values from the calculation:
Formation energy without anion corrections = -0.63 eV per atom

```
data_La2SiPd4
_symmetry_space_group_name_H-M 'I 4/m m m'
_symmetry_Int_Tables_number 139
_symmetry_space_group_name_Hall '-I 4 2'
_cell_length_a 4.628
_cell_length_b 4.628
_cell_length_c 15.139
_cell_angle_alpha 90.00
_cell_angle_beta 90.00
_cell_angle_gamma 90.00
loop_
_atom_site_label
_atom_site_fract_x
_atom_site_fract_y
_atom_site_fract_z
_atom_site_occupancy
La1 0.000 0.000 0.148 1
Si1 0.000 0.000 0.500 1
Pd1 0.000 0.000 0.343 1
Pd2 0.000 0.500 0.000 1
```

[10]
Density functional theory data (PBE) for an optimized crystal structure of SmEr2Ag.

Values from the calculation:
Energy relative to the lowest polymorph listed for this composition = 0.119 eV/atom
Formation energy from the elements = -0.0173 eV/atom

```
data_SmEr2Ag
_symmetry_space_group_name_H-M 'R -3 m'
_symmetry_Int_Tables_number 166
_symmetry_space_group_name_Hall '-R 3 2"'
_cell_length_a 3.5542
_cell_length_b 3.5542
_cell_length_c 31.3283
_cell_angle_alpha 90.00
_cell_angle_beta 90.00
_cell_angle_gamma 120.00
loop_
_atom_site_label
_atom_site_fract_x
_atom_site_fract_y
_atom_site_fract_z
_atom_site_occupancy
Sm1 0.0000 0.0000 0.0000 1
Er1 0.0000 0.0000 0.2404 1
Ag1 0.0000 0.0000 0.5000 1
```

[11]
Density functional theory data (PBE) for an optimized crystal structure of Mg3AlAg.

Values from the calculation:
Energy relative to the lowest polymorph listed for this composition = 0.278 eV/atom
Formation energy from the elements = 0.3121 eV/atom

```
data_Mg3AlAg
_symmetry_space_group_name_H-M 'P m -3 m'
_symmetry_Int_Tables_number 221
_symmetry_space_group_name_Hall '-P 4 2 3'
_cell_length_a 5.086
_cell_length_b 5.086
_cell_length_c 5.086
_cell_angle_alpha 90.00
_cell_angle_beta 90.00
_cell_angle_gamma 90.00
loop_
_atom_site_label
_atom_site_fract_x
_atom_site_fract_y
_atom_site_fract_z
_atom_site_occupancy
Mg1 0.000 0.000 0.500 1
Al1 0.500 0.500 0.500 1
Ag1 0.000 0.000 0.000 1
```

[12]
Density functional theory data (PBE) for an optimized crystal structure of Be2OsRu.

Values from the calculation:
Energy relative to the lowest polymorph listed for this composition = 0.454 eV/atom
Formation energy from the elements = 0.2242 eV/atom

```
data_Be2OsRu
_symmetry_space_group_name_H-M 'R 3 m'
_symmetry_Int_Tables_number 160
_symmetry_space_group_name_Hall 'R 3 -2"'
_cell_length_a 2.6706
_cell_length_b 2.6706
_cell_length_c 23.8706
_cell_angle_alpha 90.00
_cell_angle_beta 90.00
_cell_angle_gamma 120.00
loop_
_atom_site_label
_atom_site_fract_x
_atom_site_fract_y
_atom_site_fract_z
_atom_site_occupancy
Be1 0.0000 0.0000 0.0000 1
Be2 0.0000 0.0000 0.2507 1
Os1 0.0000 0.0000 0.7466 1
Ru1 0.0000 0.0000 0.5051 1
```

Electronic total energy values, unit eV per atom, following the record order: -4.44; -1.91; -2.64; -8.52; -4.94; -4.94; -9.00; -3.21; -5.78; -4.19; -1.96; -6.77.